1.
# PBE BiRh2Se, optimized geometry
# ΔE_f (raw) = -54 meV/atom
# SG = I-42d, No. 122
# E_tot = -44.6 eV/cell
# Magnetic moment = 0.00 μB/atom
data_BiRh2Se
_cell_length_a 8.3651
_cell_length_b 8.3651
_cell_length_c 8.3651
_cell_angle_alpha 147.01
_cell_angle_beta 147.01
_cell_angle_gamma 47.34
_symmetry_space_group_name_H-M 'P 1'
_symmetry_Int_Tables_number 1
_symmetry_space_group_name_Hall 'P 1'
loop_
_atom_site_label
_atom_site_fract_x
_atom_site_fract_y
_atom_site_fract_z
Bi1 0.0000 0.0000 0.0000
Bi2 0.7500 0.2500 0.5000
Rh1 0.1981 0.6250 0.0731
Rh2 0.3750 0.4481 0.5731
Rh3 0.5519 0.1250 0.9269
Rh4 0.8750 0.8019 0.4269
Se1 0.2500 0.7500 0.5000
Se2 0.5000 0.5000 0.0000

=====

2.
# PBE Bi2TeRhSe, optimized geometry
# ΔE_f (raw) = 301 meV/atom
# SG = P4/mmm, No. 123
# E_tot = -20.2 eV/cell
# Magnetic moment = 0.00 μB/atom
data_Bi2TeRhSe
_cell_length_a 5.4630
_cell_length_b 5.4630
_cell_length_c 4.9410
_cell_angle_alpha 90.00
_cell_angle_beta 90.00
_cell_angle_gamma 90.00
_symmetry_space_group_name_H-M 'P 1'
_symmetry_Int_Tables_number 1
_symmetry_space_group_name_Hall 'P 1'
loop_
_atom_site_label
_atom_site_fract_x
_atom_site_fract_y
_atom_site_fract_z
Bi1 0.0000 0.5000 0.0000
Bi2 0.5000 0.0000 0.0000
Te1 0.0000 0.0000 0.5000
Rh1 0.0000 0.0000 0.0000
Se1 0.5000 0.5000 0.5000

=====

3.
# PBE Bi2RhWSe, optimized geometry
# ΔE_f (raw) = 1008 meV/atom
# SG = P4/mmm, No. 123
# E_tot = -26.5 eV/cell
# Magnetic moment = 0.00 μB/atom
data_Bi2RhWSe
_cell_length_a 5.4397
_cell_length_b 5.4397
_cell_length_c 4.6780
_cell_angle_alpha 90.00
_cell_angle_beta 90.00
_cell_angle_gamma 90.00
_symmetry_space_group_name_H-M 'P 1'
_symmetry_Int_Tables_number 1
_symmetry_space_group_name_Hall 'P 1'
loop_
_atom_site_label
_atom_site_fract_x
_atom_site_fract_y
_atom_site_fract_z
Bi1 0.0000 0.5000 0.0000
Bi2 0.5000 0.0000 0.0000
Rh1 0.0000 0.0000 0.5000
W1 0.5000 0.5000 0.0000
Se1 0.5000 0.5000 0.5000

=====

4.
# PBE Si3BiRh, optimized geometry
# ΔE_f (raw) = 288 meV/atom
# SG = Pm-3m, No. 221
# E_tot = -26.1 eV/cell
# Magnetic moment = 0.00 μB/atom
data_Si3BiRh
_cell_length_a 4.7100
_cell_length_b 4.7100
_cell_length_c 4.7100
_cell_angle_alpha 90.00
_cell_angle_beta 90.00
_cell_angle_gamma 90.00
_symmetry_space_group_name_H-M 'P 1'
_symmetry_Int_Tables_number 1
_symmetry_space_group_name_Hall 'P 1'
loop_
_atom_site_label
_atom_site_fract_x
_atom_site_fract_y
_atom_site_fract_z
Si1 0.0000 0.0000 0.5000
Si2 0.0000 0.5000 0.0000
Si3 0.5000 0.0000 0.0000
Bi1 0.5000 0.5000 0.5000
Rh1 0.0000 0.0000 0.0000